[1]
LaNd2H GGA-PBE relaxed; energy = -18.466 eV per cell; space group = No. 166; E above lowest polymorph = 0.0 meV per atom
1.0
-0.4390 1.1512 3.5456
-3.3826 -0.1577 1.6192
0.4889 -7.8756 4.6046
Nd H La
2 1 1
direct
0.7208 0.7208 0.8376
0.2792 0.2792 0.1624
0.0000 0.0000 0.0000
0.5000 0.5000 0.5000


[2]
Ba2LiAg GGA-PBE relaxed; formation energy = 48 meV per atom; energy = -8.417 eV per cell; space group = No. 216; E above lowest polymorph = 188.3 meV per atom
1.0
5.6945 0.0000 0.0000
2.8473 4.9316 0.0000
2.8473 1.6439 4.6496
Li Ba Ag
1 2 1
direct
0.7500 0.7500 0.7500
0.0000 0.0000 0.0000
0.2500 0.2500 0.2500
0.5000 0.5000 0.5000


[3]
HoMgSc6 GGA-PBE relaxed; formation energy = 41 meV per atom; energy = -43.834 eV per cell; space group = No. 187
1.0
-0.2586 -3.5504 -3.8359
4.1957 -3.9283 3.3529
-6.5612 -0.5572 0.9581
Sc Ho Mg
6 1 1
direct
0.0000 0.5859 0.9217
0.0000 0.5857 0.4143
0.5000 0.4162 0.0833
0.0000 0.0783 0.4141
0.5000 0.9167 0.5838
0.5000 0.9168 0.0832
0.0000 0.0834 0.9166
0.5000 0.4165 0.5835


[4]
AlS2NF GGA-PBE relaxed; energy = -19.605 eV per cell; space group = No. 123; E above lowest polymorph = 0.0 meV per atom
1.0
-2.5549 1.5645 -3.5310
2.4788 -2.5823 -2.9378
-2.3386 -2.7725 0.4637
F N Al S
1 1 1 2
direct
0.5000 0.5000 0.5000
0.0000 0.0000 0.5000
0.0000 0.0000 0.0000
0.5000 0.0000 0.0000
0.0000 0.5000 0.0000


[5]
CdHgBr2 GGA-PBE relaxed; energy = -7.036 eV per cell; space group = No. 166; E above lowest polymorph = 0.8 meV per atom
1.0
3.5102 7.7864 7.6916
2.5620 4.7402 10.1527
6.1823 4.8519 8.3874
Br Cd Hg
2 1 1
direct
0.1197 0.1197 0.1197
0.8803 0.8803 0.8803
0.5000 0.5000 0.5000
0.0000 0.0000 0.0000


[6]
GeSbPb2 GGA-PBE relaxed; energy = -30.392 eV per cell; space group = No. 122; E above lowest polymorph = 55.4 meV per atom
1.0
-6.2446 -2.2062 1.2571
1.4528 -5.8414 -3.0349
-0.2946 -6.5871 5.0506
Sb Ge Pb
2 2 4
direct
0.7500 0.2500 0.5000
0.0000 0.0000 0.0000
0.2500 0.7500 0.5000
0.5000 0.5000 0.0000
0.1496 0.6250 0.2500
0.6004 0.1250 0.2500
0.8750 0.8504 0.7500
0.3750 0.3996 0.7500


[7]
NaPdCl GGA-PBE relaxed; energy = -38.959 eV per cell; space group = No. 62; E above lowest polymorph = 317.5 meV per atom
1.0
-4.0570 -2.9856 2.7107
4.3653 -5.1596 0.8507
1.8435 2.4618 5.4705
Na Pd Cl
4 4 4
direct
0.6282 0.2500 0.8541
0.8718 0.7500 0.3541
0.1282 0.2500 0.6459
0.3718 0.7500 0.1459
0.2736 0.2500 0.1989
0.7736 0.2500 0.3011
0.2264 0.7500 0.6989
0.7264 0.7500 0.8011
0.0000 0.0000 0.0000
0.5000 0.0000 0.5000
0.5000 0.5000 0.5000
0.0000 0.5000 0.0000


[8]
LiLaBe2 GGA-PBE relaxed; formation energy = 262 meV per atom; energy = -13.245 eV per cell; space group = No. 6; E above lowest polymorph = 66.2 meV per atom
1.0
-0.3631 -1.8120 3.5673
1.5381 -3.0797 -1.4078
5.5096 0.2105 0.6677
Be La Li
2 1 1
direct
0.5000 0.1036 0.1687
0.0000 0.1732 0.0274
0.0000 0.4690 0.4378
0.5000 0.7542 0.8661


[9]
MnNiAu3 GGA-PBE relaxed; formation energy = 1086 meV per atom; energy = -19.355 eV per cell; space group = No. 221; E above lowest polymorph = 1089.5 meV per atom
1.0
4.8555 0.0000 0.0000
0.0000 4.8555 0.0000
0.0000 0.0000 4.8555
Au Ni Mn
3 1 1
direct
0.0000 0.0000 0.5000
0.5000 0.0000 0.0000
0.0000 0.5000 0.0000
0.5000 0.5000 0.5000
0.0000 0.0000 0.0000


[10]
Sm6Dy3Mg GGA-PBE relaxed; formation energy = 15 meV per atom; energy = -87.125 eV per cell; space group = No. 11; E above lowest polymorph = 0.0 meV per atom
1.0
-3.8620 -3.0912 -1.0713
4.6986 -2.4344 -9.9141
5.5401 -8.5951 4.8290
Dy Sm Mg
6 12 2
direct
0.7500 0.4502 0.5998
0.7500 0.6498 0.2037
0.7500 0.2487 0.9962
0.2500 0.7513 0.0038
0.2500 0.3502 0.7963
0.2500 0.5498 0.4002
0.2500 0.0487 0.8980
0.2500 0.4483 0.1021
0.7500 0.7523 0.5010
0.7500 0.8502 0.8027
0.2500 0.2477 0.4990
0.2500 0.8502 0.3054
0.7500 0.9513 0.1020
0.2500 0.6532 0.7002
0.7500 0.5517 0.8979
0.7500 0.1498 0.6946
0.7500 0.3468 0.2998
0.2500 0.1498 0.1973
0.7500 0.0470 0.4041
0.2500 0.9530 0.5959


[11]
Sr2FeW GGA-PBE relaxed; formation energy = 766 meV per atom; energy = -21.714 eV per cell; space group = No. 44; E above lowest polymorph = 261.7 meV per atom
1.0
6.3913 0.0740 -0.0196
2.9816 5.6537 0.0196
-3.9906 -4.0025 2.9848
Sr Fe W
2 1 1
direct
0.0289 0.0289 0.0000
0.7368 0.2368 0.5000
0.3042 0.8042 0.5000
0.4301 0.4301 0.0000


[12]
Nd4TlAsSe2 GGA-PBE relaxed; energy = -44.041 eV per cell; space group = No. 10
1.0
-0.6815 3.7816 -1.8388
2.8356 -2.6243 -6.4481
-5.5936 -2.9962 -4.0890
Se Nd Tl As
2 4 1 1
direct
0.5000 0.0000 0.5000
0.0000 0.0000 0.0000
0.5000 0.7459 0.2599
0.5000 0.2541 0.7401
0.0000 0.7583 0.7376
0.0000 0.2417 0.2624
0.5000 0.5000 0.0000
0.0000 0.5000 0.5000


[13]
Rb3Al2Ge3 GGA-PBE relaxed; formation energy = -31 meV per atom; energy = -48.970 eV per cell; space group = No. 63
1.0
4.2534 0.0000 0.0000
-2.1267 7.2865 0.0000
0.0000 0.0000 16.0591
Ge Al Rb
6 4 6
direct
0.6749 0.3499 0.0388
0.3251 0.6501 0.9612
0.3312 0.6625 0.2500
0.3251 0.6501 0.5388
0.6749 0.3499 0.4612
0.6688 0.3375 0.7500
0.2457 0.4915 0.3916
0.7543 0.5085 0.8916
0.2457 0.4915 0.1084
0.7543 0.5085 0.6084
0.0557 0.1114 0.8980
0.9443 0.8886 0.1020
0.0557 0.1114 0.6020
0.3754 0.7509 0.7500
0.9443 0.8886 0.3980
0.6246 0.2491 0.2500


[14]
BaReAs2 GGA-PBE relaxed; formation energy = -51 meV per atom; energy = -23.874 eV per cell; space group = No. 44; E above lowest polymorph = 206.1 meV per atom
1.0
-0.4007 5.5586 5.7756
1.8188 1.5881 7.6542
1.3795 -2.5292 -7.4911
As Ba Re
2 1 1
direct
0.0821 0.0821 0.0000
0.7697 0.2697 0.5000
0.4465 0.4465 0.0000
0.2017 0.7017 0.5000


[15]
Li3ReTe GGA-PBE relaxed; energy = -17.388 eV per cell; space group = No. 221; E above lowest polymorph = 0.0 meV per atom
1.0
-4.4662 -1.9139 -1.5033
-0.9590 -1.5036 4.7633
-2.2367 4.4661 0.9594
Li Te Re
3 1 1
direct
0.0000 0.5000 0.0000
0.5000 0.0000 0.0000
0.0000 0.0000 0.5000
0.0000 0.0000 0.0000
0.5000 0.5000 0.5000


[16]
V3CrGa GGA-PBE relaxed; formation energy = -28 meV per atom; energy = -80.291 eV per cell; space group = No. 11; E above lowest polymorph = 0.0 meV per atom
1.0
-2.2745 -0.9396 0.6495
1.6973 -3.9426 0.2398
5.2367 2.9237 11.0068
V Ga Cr
6 2 2
direct
0.2648 0.7500 0.6377
0.9037 0.7500 0.2597
0.5858 0.2500 0.9488
0.7352 0.2500 0.3623
0.0963 0.2500 0.7403
0.4142 0.7500 0.0512
0.1580 0.2500 0.1536
0.8420 0.7500 0.8464
0.7138 0.2500 0.5496
0.2862 0.7500 0.4504


[17]
Hf2ZrZn GGA-PBE relaxed; formation energy = -95 meV per atom; energy = -30.110 eV per cell; space group = No. 123
1.0
-1.0447 -2.9272 0.8248
3.0404 -0.9852 0.3542
-0.1731 2.2212 7.6639
Zn Hf Zr
1 2 1
direct
0.5000 0.5000 0.0000
0.0000 0.0000 0.2261
0.0000 0.0000 0.7739
0.5000 0.5000 0.5000


[18]
NbTc3S GGA-PBE relaxed; energy = -34.883 eV per cell; space group = No. 221; E above lowest polymorph = 1770.8 meV per atom
1.0
-3.0887 3.5426 0.9233
0.4068 -0.8684 4.6929
3.6383 3.1046 0.2591
Nb Tc S
1 3 1
direct
0.0000 0.0000 0.0000
0.0000 0.0000 0.5000
0.0000 0.5000 0.0000
0.5000 0.0000 0.0000
0.5000 0.5000 0.5000


[19]
Mg8Zn2Ir GGA-PBE relaxed; formation energy = -139 meV per atom; energy = -25.691 eV per cell; space group = No. 12; E above lowest polymorph = 5.8 meV per atom
1.0
-2.6359 -1.0844 3.6080
2.4172 -6.2364 -0.1084
5.3736 5.2787 2.5826
Mg Zn Ir
8 2 1
direct
0.6602 0.9230 0.3204
0.9799 0.2144 0.9598
0.6050 0.4286 0.2100
0.0201 0.7856 0.0402
0.8209 0.7590 0.6418
0.1791 0.2410 0.3582
0.3950 0.5714 0.7900
0.3398 0.0770 0.6796
0.8161 0.3268 0.6322
0.1839 0.6732 0.3678
0.5000 0.0000 0.0000


[20]
MnCrCl2 GGA-PBE relaxed; energy = -23.573 eV per cell; space group = No. 160; E above lowest polymorph = 0.0 meV per atom
1.0
-2.1585 -8.0141 2.8291
0.4327 -7.3206 4.8073
-2.6116 -6.2203 5.6014
Cl Cr Mn
2 1 1
direct
0.2207 0.2207 0.2207
0.0260 0.0260 0.0260
0.5010 0.5010 0.5010
0.7524 0.7524 0.7524


| no. | V (Å³ per cell) |
| --- | --- |
| 1 | 108 |
| 2 | 131 |
| 3 | 201 |
| 4 | 78 |
| 5 | 158 |
| 6 | 309 |
| 7 | 245 |
| 8 | 78 |
| 9 | 114 |
| 10 | 643 |
| 11 | 107 |
| 12 | 229 |
| 13 | 498 |
| 14 | 92 |
| 15 | 132 |
| 16 | 133 |
| 17 | 83 |
| 18 | 110 |
| 19 | 215 |
| 20 | 82 |